# 1
# BeAsRuSe2, optimized geometry, DFT GGA-PBE
# - E above lowest polymorph: 0.0000 eV/atom
# - Total magnetic moment: 0.0 μB per formula unit
# - E_tot: -20.88 eV per cell
# - D(E_F): 1.1769 states/eV per atom
# - Density: 6.6 g cm⁻³
# - Raw formation energy: 0.75 eV per atom
data_BeAsRuSe2
_chemical_formula_sum 'Be1 As1 Ru1 Se2'
_cell_length_a 4.530
_cell_length_b 4.530
_cell_length_c 4.214
_cell_angle_alpha 90.00
_cell_angle_beta 90.00
_cell_angle_gamma 90.00
_symmetry_space_group_name_H-M 'P 4/m m m'
_symmetry_Int_Tables_number 123
_symmetry_space_group_name_Hall '-P 4 2'
loop_
_atom_site_label
_atom_site_fract_x
_atom_site_fract_y
_atom_site_fract_z
Be1 0.000 0.000 0.000
As1 0.000 0.000 0.500
Ru1 0.500 0.500 0.500
Se1 0.000 0.500 0.000

---

# 2
# BeAs3S, optimized geometry, DFT GGA-PBE
# - E above lowest polymorph: 0.0000 eV/atom
# - Total magnetic moment: 0.0 μB per formula unit
# - E_tot: -18.42 eV per cell
# - D(E_F): 0.7735 states/eV per atom
# - Density: 4.9 g cm⁻³
# - Raw formation energy: 0.68 eV per atom
data_BeAs3S
_chemical_formula_sum 'Be1 As3 S1'
_cell_length_a 4.477
_cell_length_b 4.477
_cell_length_c 4.477
_cell_angle_alpha 90.00
_cell_angle_beta 90.00
_cell_angle_gamma 90.00
_symmetry_space_group_name_H-M 'P m -3 m'
_symmetry_Int_Tables_number 221
_symmetry_space_group_name_Hall '-P 4 2 3'
loop_
_atom_site_label
_atom_site_fract_x
_atom_site_fract_y
_atom_site_fract_z
Be1 0.000 0.000 0.000
As1 0.000 0.000 0.500
S1 0.500 0.500 0.500

---

# 3
# BeAs3S, optimized geometry, DFT GGA-PBE
# - E above lowest polymorph: 0.4529 eV/atom
# - Total magnetic moment: 0.0 μB per formula unit
# - E_tot: -16.16 eV per cell
# - D(E_F): 0.5998 states/eV per atom
# - Density: 4.1 g cm⁻³
# - Raw formation energy: 1.13 eV per atom
data_BeAs3S
_chemical_formula_sum 'Be1 As3 S1'
_cell_length_a 4.752
_cell_length_b 4.752
_cell_length_c 4.752
_cell_angle_alpha 90.00
_cell_angle_beta 90.00
_cell_angle_gamma 90.00
_symmetry_space_group_name_H-M 'P m -3 m'
_symmetry_Int_Tables_number 221
_symmetry_space_group_name_Hall '-P 4 2 3'
loop_
_atom_site_label
_atom_site_fract_x
_atom_site_fract_y
_atom_site_fract_z
Be1 0.000 0.000 0.000
As1 0.000 0.500 0.500
S1 0.500 0.500 0.500

---

# 4
# BeAsSe2S, optimized geometry, DFT GGA-PBE
# - E above lowest polymorph: 0.4251 eV/atom
# - Total magnetic moment: 0.0 μB per formula unit
# - E_tot: -14.38 eV per cell
# - D(E_F): 0.8778 states/eV per atom
# - Density: 4.1 g cm⁻³
# - Raw formation energy: 1.02 eV per atom
data_BeAsSe2S
_chemical_formula_sum 'Be1 As1 Se2 S1'
_cell_length_a 4.792
_cell_length_b 4.792
_cell_length_c 4.850
_cell_angle_alpha 90.00
_cell_angle_beta 90.00
_cell_angle_gamma 90.00
_symmetry_space_group_name_H-M 'P 4/m m m'
_symmetry_Int_Tables_number 123
_symmetry_space_group_name_Hall '-P 4 2'
loop_
_atom_site_label
_atom_site_fract_x
_atom_site_fract_y
_atom_site_fract_z
Be1 0.000 0.000 0.000
As1 0.500 0.500 0.000
Se1 0.000 0.500 0.500
S1 0.500 0.500 0.500

---

# 5
# BeAsSe2S, optimized geometry, DFT GGA-PBE
# - E above lowest polymorph: 0.0000 eV/atom
# - Total magnetic moment: 0.0 μB per formula unit
# - E_tot: -16.51 eV per cell
# - D(E_F): 0.7005 states/eV per atom
# - Density: 4.9 g cm⁻³
# - Raw formation energy: 0.59 eV per atom
data_BeAsSe2S
_chemical_formula_sum 'Be1 As1 Se2 S1'
_cell_length_a 4.448
_cell_length_b 4.448
_cell_length_c 4.702
_cell_angle_alpha 90.00
_cell_angle_beta 90.00
_cell_angle_gamma 90.00
_symmetry_space_group_name_H-M 'P 4/m m m'
_symmetry_Int_Tables_number 123
_symmetry_space_group_name_Hall '-P 4 2'
loop_
_atom_site_label
_atom_site_fract_x
_atom_site_fract_y
_atom_site_fract_z
Be1 0.000 0.000 0.000
As1 0.000 0.000 0.500
Se1 0.000 0.500 0.000
S1 0.500 0.500 0.500

---

# 6
# BeSnAs2S, optimized geometry, DFT GGA-PBE
# - Total magnetic moment: 0.0 μB per formula unit
# - E_tot: -19.54 eV per cell
# - D(E_F): 0.5853 states/eV per atom
# - Density: 5.3 g cm⁻³
# - Raw formation energy: 0.32 eV per atom
data_BeSnAs2S
_chemical_formula_sum 'Be1 Sn1 As2 S1'
_cell_length_a 4.529
_cell_length_b 4.529
_cell_length_c 4.715
_cell_angle_alpha 90.00
_cell_angle_beta 90.00
_cell_angle_gamma 90.00
_symmetry_space_group_name_H-M 'P 4/m m m'
_symmetry_Int_Tables_number 123
_symmetry_space_group_name_Hall '-P 4 2'
loop_
_atom_site_label
_atom_site_fract_x
_atom_site_fract_y
_atom_site_fract_z
Be1 0.000 0.000 0.000
Sn1 0.500 0.500 0.500
As1 0.000 0.500 0.000
S1 0.000 0.000 0.500